The following is a GGA+U calculation of a geometry-optimized TiVI2O structure, from Alexandria.

Structure (POSCAR):
```
TiVI2O
1.0
5.705 0.000 0.000
0.000 5.705 0.000
0.000 0.000 3.704
Ti V I O
1 1 2 1
Direct
0.000 0.000 0.000
0.500 0.500 0.500
0.000 0.500 0.500
0.500 0.000 0.500
0.500 0.500 0.000
```

Properties
For the raw total energy, the calculation gives -4.99 eV/atom.


The following is a GGA+U calculation of a geometry-optimized TiVI2O structure, from Alexandria.

Structure (POSCAR):
```
TiVI2O
1.0
5.708 0.000 0.000
0.000 5.708 0.000
0.000 0.000 3.755
Ti V I O
1 1 2 1
Direct
0.000 0.000 0.000
0.500 0.500 0.500
0.000 0.500 0.000
0.500 0.000 0.000
0.000 0.000 0.500
```

Properties
For the raw total energy, the calculation gives -5.22 eV/atom.


The following is a GGA+U calculation of a geometry-optimized TiWI2O structure, from Alexandria.

Structure (POSCAR):
```
TiWI2O
1.0
5.950 0.000 0.000
0.000 5.950 0.000
0.000 0.000 3.879
Ti W I O
1 1 2 1
Direct
0.000 0.000 0.000
0.500 0.500 0.500
0.000 0.500 0.500
0.500 0.000 0.500
0.500 0.500 0.000
```

Properties
For the raw total energy, the calculation gives -4.62 eV/atom.


The following is a GGA+U calculation of a geometry-optimized TiWI2O structure, from Alexandria.

Structure (POSCAR):
```
TiWI2O
1.0
5.824 0.000 0.000
0.000 5.824 0.000
0.000 0.000 3.748
Ti W I O
1 1 2 1
Direct
0.000 0.000 0.000
0.500 0.500 0.500
0.000 0.500 0.000
0.500 0.000 0.000
0.000 0.000 0.500
```

Properties
For the raw total energy, the calculation gives -4.94 eV/atom.


The following is a GGA+U calculation of a geometry-optimized TiWIO2 structure, from Alexandria.

Structure (POSCAR):
```
TiWIO2
1.0
3.933 0.000 0.000
0.000 3.933 0.000
0.000 0.000 7.948
Ti W I O
1 1 1 2
Direct
0.000 0.000 0.000
0.500 0.500 0.500
0.500 0.500 0.000
0.000 0.500 0.500
0.500 0.000 0.500
```

Properties
For the raw total energy, the calculation gives -5.88 eV/atom.


The following is a GGA+U calculation of a geometry-optimized TiWIO2 structure, from Alexandria.

Structure (POSCAR):
```
TiWIO2
1.0
3.971 0.000 0.000
0.000 3.971 0.000
0.000 0.000 5.982
Ti W I O
1 1 1 2
Direct
0.000 0.000 0.000
0.500 0.500 0.500
0.000 0.000 0.500
0.000 0.500 0.000
0.500 0.000 0.000
```

Properties
For the raw total energy, the calculation gives -6.01 eV/atom.


> raw total energy of number 1 (TiVI2O)?

-4.99 eV/atom


> raw total energy of number 4 (TiWI2O)?

-4.94 eV/atom